A plane-wave DFT calculation with PBE was carried out for a relaxed structure of Rb4LiTl4.

Geometry as POSCAR:
```
Rb4LiTl4
1.0
-3.676 3.489 -5.471
-4.210 0.784 8.412
1.265 6.552 3.328
Rb Tl Li
4 4 1
Cartesian
-3.735 4.267 -1.756
-4.263 7.864 5.976
-3.360 4.104 6.779
-1.884 5.415 1.540
-3.937 8.188 -0.640
-1.832 7.051 9.152
-5.161 4.987 3.224
-2.313 1.423 0.803
0.000 0.000 0.000
```

Total energy, eV/atom: -1.605
Magnetic moment, μB/atom: 0.000
Volume, A^3/atom: 48.4

---

A plane-wave DFT calculation with PBE was carried out for a relaxed structure of RbLiTl2Zn.

Geometry as POSCAR:
```
RbLiTl2Zn
1.0
5.471 0.000 0.000
0.000 5.471 0.000
0.000 0.000 5.462
Zn Tl Li Rb
1 2 1 1
Cartesian
0.000 0.000 0.000
2.735 0.000 0.000
0.000 2.735 0.000
0.000 0.000 2.731
2.735 2.735 2.731
```

Total energy, eV/atom: -1.721
Magnetic moment, μB/atom: 0.000
Volume, A^3/atom: 32.7

---

A plane-wave DFT calculation with PBE was carried out for a relaxed structure of RbLiTlZn.

Geometry as POSCAR:
```
RbLiTlZn
1.0
-0.891 7.036 -0.609
-4.683 -0.677 -0.960
-1.185 -2.829 7.775
Tl Rb Zn Li
2 2 2 2
Cartesian
-0.796 -1.035 4.613
-2.545 0.042 0.246
-3.607 2.283 3.848
-0.673 4.036 0.441
-1.152 -2.152 7.138
-2.902 -1.075 2.771
-3.403 -1.523 5.536
-0.469 0.230 2.128
```

Total energy, eV/atom: -1.711
Relative energy among the computed polymorphs, eV/f.u.: 0.00
Magnetic moment, μB/atom: 0.000
Volume, A^3/atom: 33.0

---

A plane-wave DFT calculation with PBE was carried out for a relaxed structure of RbLiTlZn.

Geometry as POSCAR:
```
RbLiTlZn
1.0
-1.696 -0.244 -3.208
2.459 -2.436 -1.115
-4.910 -6.364 3.080
Tl Li Rb Zn
1 1 1 1
Cartesian
-1.494 -3.771 -0.985
-0.866 -1.122 0.543
-3.536 -4.584 2.219
0.169 -1.615 -2.028
```

Total energy, eV/atom: -1.612
Relative energy among the computed polymorphs, eV/f.u.: 0.39
Magnetic moment, μB/atom: 0.000
Volume, A^3/atom: 28.5

---

A plane-wave DFT calculation with PBE was carried out for a relaxed structure of RbLi2TlZn.

Geometry as POSCAR:
```
RbLi2TlZn
1.0
5.471 0.000 0.000
0.000 5.471 0.000
0.000 0.000 5.455
Rb Zn Li Tl
1 1 2 1
Cartesian
2.736 2.736 2.728
0.000 0.000 2.728
2.736 0.000 0.000
0.000 2.736 0.000
0.000 0.000 0.000
```

Total energy, eV/atom: -1.635
Magnetic moment, μB/atom: 0.000
Volume, A^3/atom: 32.7

---

A plane-wave DFT calculation with PBE was carried out for a relaxed structure of RbLiTlZn.

Geometry as POSCAR:
```
RbLiTlZn
1.0
-3.251 -0.965 -1.342
2.027 -3.597 -2.326
-1.054 -4.336 5.786
Zn Rb Li Tl
1 1 1 1
Cartesian
-2.642 -5.449 1.297
-2.356 -4.458 4.839
-0.705 -3.732 0.330
-3.423 -2.713 1.212
```

Total energy, eV/atom: -1.605
Relative energy among the computed polymorphs, eV/f.u.: 0.42
Magnetic moment, μB/atom: 0.000
Volume, A^3/atom: 31.6